Entry 1:
# Hf2TcH2

A relaxed structure of Hf2TcH2 (PBE, Alexandria via LeMat-Bulk).

* DFT total energy: -7.922 eV per atom
* density: 12.2 g/cm3
* DOS at the Fermi energy: 0.277 states/eV/atom
* calculated volume: 62.0 Å³ per cell

Lattice parameters (Å, degrees): 3.278 3.278 6.218 74.72 74.72 90.00
Element x y z (fractional)
1 H 0.750 0.250 0.500
2 H 0.250 0.750 0.500
3 Hf 0.637 0.637 0.725
4 Hf 0.363 0.363 0.275
5 Tc 0.000 0.000 0.000

---

Entry 2:
# BeCd2Ni

A relaxed structure of BeCd2Ni (PBE, Alexandria via LeMat-Bulk).

* formation energy: 0.50 eV per atom
* density: 7.4 g/cm3
* DOS at the Fermi energy: 0.369 states/eV/atom
* calculated volume: 131.3 Å³ per cell

Lattice parameters (Å, degrees): 7.015 7.015 5.633 51.49 51.49 90.00
Element x y z (fractional)
1 Be 0.500 0.500 0.000
2 Be 0.250 0.750 0.500
3 Cd 0.145 0.625 0.250
4 Cd 0.375 0.395 0.750
5 Cd 0.605 0.125 0.250
6 Cd 0.875 0.855 0.750
7 Ni 0.750 0.250 0.500
8 Ni 0.000 0.000 0.000

---

Entry 3:
# Ac8FeNi3I4

A relaxed structure of Ac8FeNi3I4 (PBE, Alexandria via LeMat-Bulk).

* E_form (uncorrected): -0.651 eV/atom
* density: 7.6 g/cm3
* DOS at the Fermi energy: 0.545 states/eV/atom
* calculated volume: 558.4 Å³ per cell

Lattice parameters (Å, degrees): 8.665 9.957 8.644 115.70 120.08 90.00
Element x y z (fractional)
1 Fe 0.000 0.500 0.000
2 Ni 0.500 0.500 0.500
3 Ni 0.000 0.500 0.500
4 Ni 0.500 0.500 0.000
5 I 0.000 0.000 0.000
6 I 0.000 0.000 0.500
7 I 0.500 0.000 0.000
8 I 0.500 0.000 0.500
9 Ac 0.777 0.318 0.042
10 Ac 0.223 0.683 0.447
11 Ac 0.265 0.318 0.042
12 Ac 0.223 0.682 0.958
13 Ac 0.727 0.682 0.453
14 Ac 0.777 0.317 0.553
15 Ac 0.273 0.318 0.547
16 Ac 0.735 0.682 0.958

---

Entry 4:
# Np2P4RuRh3

A relaxed structure of Np2P4RuRh3 (PBE, Alexandria via LeMat-Bulk).

* formation energy: -0.76 eV per atom
* density: 10.4 g/cm3
* DOS at the Fermi energy: 2.329 states/eV/atom
* calculated volume: 161.4 Å³ per cell

Lattice parameters (Å, degrees): 4.134 4.134 9.442 90.00 90.00 90.00
Site moments in Bohr magnetons follow the coordinates.
Element x y z (fractional)
1 Rh 0.500 0.000 0.886  -0.07
2 Rh 0.000 0.000 0.500  -0.02
3 Rh 0.000 0.500 0.114  -0.07
4 Ru 0.500 0.500 0.500  -0.09
5 P 0.500 0.500 0.000  -0.04
6 P 0.000 0.500 0.364  -0.02
7 P 0.500 0.000 0.636  -0.02
8 P 0.000 0.000 0.000  -0.03
9 Np 0.500 0.000 0.241  3.58
10 Np 0.000 0.500 0.759  3.58